# 1
A plane-wave DFT calculation with PBE was carried out for crystalline AcAg3 at its relaxed geometry.

Lattice parameters (Å, degrees): 5.960 5.960 7.462 90.00 90.00 133.20
Sites, in units of the cell vectors:
1 Ac 0.087 0.913 0.750
2 Ac 0.913 0.087 0.250
3 Ag 0.206 0.794 0.250
4 Ag 0.374 0.626 0.559
5 Ag 0.374 0.626 0.941
6 Ag 0.626 0.374 0.059
7 Ag 0.626 0.374 0.441
8 Ag 0.794 0.206 0.750

## Properties
Formation energy, kJ/mol of atoms: -26
SG: Cmcm, No. 63

=====

# 2
A plane-wave DFT calculation with PBE was carried out for crystalline AcAl2Ag2 at its relaxed geometry.

Lattice parameters (Å, degrees): 6.219 6.219 6.219 136.45 136.45 63.28
Sites, in units of the cell vectors:
1 Ac 0.000 0.000 0.000
2 Al 0.377 0.377 0.000
3 Al 0.623 0.623 0.000
4 Ag 0.250 0.750 0.500
5 Ag 0.750 0.250 0.500

## Properties
SG: I4/mmm, No. 139

=====

# 3
A plane-wave DFT calculation with PBE was carried out for crystalline Ac2Al7Ag at its relaxed geometry.

Lattice parameters (Å, degrees): 4.500 4.500 11.052 90.00 90.00 90.00
Sites, in units of the cell vectors:
1 Ac 0.000 0.500 0.249
2 Ac 0.500 0.000 0.751
3 Al 0.000 0.000 0.000
4 Al 0.000 0.500 0.630
5 Al 0.000 0.500 0.867
6 Al 0.500 0.000 0.133
7 Al 0.500 0.000 0.370
8 Al 0.500 0.500 0.000
9 Al 0.500 0.500 0.500
10 Ag 0.000 0.000 0.500

## Properties
SG: P-4m2, No. 115

=====

# 4
A plane-wave DFT calculation with PBE was carried out for crystalline AcAlAg at its relaxed geometry.

Lattice parameters (Å, degrees): 4.999 4.999 4.999 60.00 60.00 60.00
Sites, in units of the cell vectors:
1 Ac 0.000 0.000 0.000
2 Al 0.500 0.500 0.500
3 Ag 0.250 0.250 0.250

## Properties
SG: F-43m, No. 216

=====

# 5
A plane-wave DFT calculation with PBE was carried out for crystalline Ac2AlAg2 at its relaxed geometry.

Lattice parameters (Å, degrees): 4.851 4.851 14.374 90.00 90.00 120.00
Sites, in units of the cell vectors:
1 Ac 0.333 0.667 0.118
2 Ac 0.333 0.667 0.382
3 Ac 0.667 0.333 0.618
4 Ac 0.667 0.333 0.882
5 Al 0.000 0.000 0.250
6 Al 0.000 0.000 0.750
7 Ag 0.000 0.000 0.000
8 Ag 0.000 0.000 0.500
9 Ag 0.333 0.667 0.750
10 Ag 0.667 0.333 0.250

## Properties
SG: P6_3/mmc, No. 194

=====

# 6
A plane-wave DFT calculation with PBE was carried out for crystalline AcAl2Ag2 at its relaxed geometry.

Lattice parameters (Å, degrees): 6.560 6.560 6.560 140.63 140.63 56.90
Sites, in units of the cell vectors:
1 Ac 0.000 0.000 0.000
2 Al 0.250 0.750 0.500
3 Al 0.750 0.250 0.500
4 Ag 0.378 0.378 0.000
5 Ag 0.622 0.622 0.000

## Properties
SG: I4/mmm, No. 139

=====

# 7
A plane-wave DFT calculation with PBE was carried out for crystalline Ac2Al5Ag5 at its relaxed geometry.

Lattice parameters (Å, degrees): 4.477 5.635 10.018 90.00 90.00 90.00
Sites, in units of the cell vectors:
1 Ac 0.000 0.000 0.000
2 Ac 0.000 0.500 0.500
3 Al 0.500 0.000 0.500
4 Al 0.500 0.248 0.246
5 Al 0.500 0.248 0.754
6 Al 0.500 0.752 0.246
7 Al 0.500 0.752 0.754
8 Ag 0.000 0.000 0.333
9 Ag 0.000 0.000 0.667
10 Ag 0.000 0.500 0.180
11 Ag 0.000 0.500 0.820
12 Ag 0.500 0.500 0.000

## Properties
SG: Pmmm, No. 47

=====

# 8
A plane-wave DFT calculation with PBE was carried out for crystalline AcAgAsO at its relaxed geometry.

Lattice parameters (Å, degrees): 4.846 7.048 4.997 90.00 90.00 90.00
Sites, in units of the cell vectors:
1 Ac 0.000 0.217 0.000
2 Ac 0.000 0.783 0.500
3 Ag 0.500 0.136 0.499
4 Ag 0.500 0.864 0.999
5 As 0.500 0.495 0.251
6 As 0.500 0.505 0.751
7 O 0.000 0.119 0.504
8 O 0.000 0.881 0.004

## Properties
SG: Pmc2_1, No. 26

=====

no.,spin magnetization (μB per formula unit),electronic total energy (eV/atom)
1,0.00,-3.42
2,0.02,-3.79
3,0.01,-4.08
4,0.23,-3.66
5,0.00,-3.77
6,0.00,-3.77
7,0.01,-3.77
8,0.00,-5.45